# 1
# La5S7, optimized geometry, DFT PBE-GGA
# **Total magnetic moment**: 0.08 μB per atom
# **Formation energy without anion corrections**: -1.965 eV per atom
data_La5S7
_chemical_formula_sum 'La20 S28'
_cell_length_a 15.5726
_cell_length_b 15.6800
_cell_length_c 5.3280
_cell_angle_alpha 90.00
_cell_angle_beta 90.00
_cell_angle_gamma 90.00
_symmetry_space_group_name_H-M 'C m m 2'
_symmetry_Int_Tables_number 35
_symmetry_space_group_name_Hall 'C 2 -2'
loop_
_atom_site_label
_atom_site_fract_x
_atom_site_fract_y
_atom_site_fract_z
La1 0.0000 0.1551 0.0000
La2 0.0000 0.3331 0.5074
La3 0.1407 0.5000 0.9997
La4 0.1701 0.0000 0.4979
La5 0.2500 0.2500 0.7099
S1 0.1013 0.1675 0.5098
S2 0.1014 0.3148 0.0028
S3 0.1188 0.0000 0.9999
S4 0.1765 0.4028 0.5071

=====

# 2
# LaS, optimized geometry, DFT PBE-GGA
# **Total magnetic moment**: 0.00 μB per atom
# **Formation energy without anion corrections**: -1.654 eV per atom
# **Energy above the most stable polymorph in this dataset**: 515.1 meV/atom
data_LaS
_chemical_formula_sum 'La6 S6'
_cell_length_a 10.6985
_cell_length_b 10.6985
_cell_length_c 4.8915
_cell_angle_alpha 90.00
_cell_angle_beta 90.00
_cell_angle_gamma 120.00
_symmetry_space_group_name_H-M 'P 63/m'
_symmetry_Int_Tables_number 176
_symmetry_space_group_name_Hall '-P 6c'
loop_
_atom_site_label
_atom_site_fract_x
_atom_site_fract_y
_atom_site_fract_z
La1 0.1226 0.6804 0.2500
S1 0.0292 0.3763 0.2500

=====

# 3
# LaS, optimized geometry, DFT PBE-GGA
# **Total magnetic moment**: 0.00 μB per atom
# **Formation energy without anion corrections**: -1.904 eV per atom
# **Energy above the most stable polymorph in this dataset**: 264.7 meV/atom
data_LaS
_chemical_formula_sum 'La2 S2'
_cell_length_a 4.9444
_cell_length_b 4.9444
_cell_length_c 5.8300
_cell_angle_alpha 90.00
_cell_angle_beta 90.00
_cell_angle_gamma 120.00
_symmetry_space_group_name_H-M 'P 63/m m c'
_symmetry_Int_Tables_number 194
_symmetry_space_group_name_Hall '-P 6c 2c'
loop_
_atom_site_label
_atom_site_fract_x
_atom_site_fract_y
_atom_site_fract_z
La1 0.3333 0.6667 0.2500
S1 0.3333 0.6667 0.7500

=====

# 4
# LaS4, optimized geometry, DFT PBE-GGA
# **Total magnetic moment**: 1.00 μB per atom
# **Formation energy without anion corrections**: 0.250 eV per atom
# **Energy above the most stable polymorph in this dataset**: 1145.8 meV/atom
data_LaS4
_chemical_formula_sum 'La1 S4'
_cell_length_a 5.6471
_cell_length_b 5.6471
_cell_length_c 5.6471
_cell_angle_alpha 90.00
_cell_angle_beta 90.00
_cell_angle_gamma 90.00
_symmetry_space_group_name_H-M 'P m -3 m'
_symmetry_Int_Tables_number 221
_symmetry_space_group_name_Hall '-P 4 2 3'
loop_
_atom_site_label
_atom_site_fract_x
_atom_site_fract_y
_atom_site_fract_z
La1 0.0000 0.0000 0.0000
S1 0.0000 0.0000 0.5000
S2 0.5000 0.5000 0.5000

=====

# 5
# LaSbS3, optimized geometry, DFT PBE-GGA
# **Total magnetic moment**: 0.00 μB per atom
# **Formation energy without anion corrections**: -0.132 eV per atom
# **Energy above the most stable polymorph in this dataset**: 1060.3 meV/atom
data_LaSbS3
_chemical_formula_sum 'La1 Sb1 S3'
_cell_length_a 5.4398
_cell_length_b 5.4398
_cell_length_c 5.4398
_cell_angle_alpha 90.00
_cell_angle_beta 90.00
_cell_angle_gamma 90.00
_symmetry_space_group_name_H-M 'P m -3 m'
_symmetry_Int_Tables_number 221
_symmetry_space_group_name_Hall '-P 4 2 3'
loop_
_atom_site_label
_atom_site_fract_x
_atom_site_fract_y
_atom_site_fract_z
La1 0.0000 0.0000 0.0000
Sb1 0.5000 0.5000 0.5000
S1 0.0000 0.0000 0.5000

=====

# 6
# LaSbS2, optimized geometry, DFT PBE-GGA
# **Total magnetic moment**: 0.00 μB per atom
# **Formation energy without anion corrections**: -1.119 eV per atom
data_LaSbS2
_chemical_formula_sum 'La3 Sb3 S6'
_cell_length_a 4.1774
_cell_length_b 4.1774
_cell_length_c 25.4666
_cell_angle_alpha 90.00
_cell_angle_beta 90.00
_cell_angle_gamma 120.00
_symmetry_space_group_name_H-M 'R -3 m'
_symmetry_Int_Tables_number 166
_symmetry_space_group_name_Hall '-R 3 2"'
loop_
_atom_site_label
_atom_site_fract_x
_atom_site_fract_y
_atom_site_fract_z
La1 0.0000 0.0000 0.0000
Sb1 0.0000 0.0000 0.5000
S1 0.0000 0.0000 0.3939

=====

> What is the formula in the second record?

LaS

=====

Please write out number 3 again, unchanged.
# LaS, optimized geometry, DFT PBE-GGA
# **Total magnetic moment**: 0.00 μB per atom
# **Formation energy without anion corrections**: -1.904 eV per atom
# **Energy above the most stable polymorph in this dataset**: 264.7 meV/atom
data_LaS
_chemical_formula_sum 'La2 S2'
_cell_length_a 4.9444
_cell_length_b 4.9444
_cell_length_c 5.8300
_cell_angle_alpha 90.00
_cell_angle_beta 90.00
_cell_angle_gamma 120.00
_symmetry_space_group_name_H-M 'P 63/m m c'
_symmetry_Int_Tables_number 194
_symmetry_space_group_name_Hall '-P 6c 2c'
loop_
_atom_site_label
_atom_site_fract_x
_atom_site_fract_y
_atom_site_fract_z
La1 0.3333 0.6667 0.2500
S1 0.3333 0.6667 0.7500

=====

> What is the formula in the fourth record?

LaS4